[1]
! Bi2P2O7 (PBE, relaxed); values from VASP
&SYSTEM
  ibrav = 0, nat = 22, ntyp = 3
/
ATOMIC_SPECIES
Bi 208.98 Bi.upf
P 30.97 P.upf
O 16.00 O.upf
CELL_PARAMETERS angstrom
5.721 0.000 0.000
0.000 10.639 0.000
-1.180 0.000 6.070
ATOMIC_POSITIONS angstrom
Bi 0.436 2.043 0.521
Bi -0.154 3.276 3.556
Bi 4.695 7.363 2.515
Bi 4.105 8.596 5.550
P 1.192 6.442 5.055
P 1.782 9.516 2.020
P 2.759 1.123 4.050
P 3.349 4.196 1.015
O 0.136 7.218 5.855
O 0.726 8.740 2.820
O 0.573 5.748 3.823
O 1.163 10.210 0.788
O 1.502 1.916 4.415
O 2.092 3.404 1.380
O 2.271 0.000 3.035
O 2.861 5.319 0.000
O 2.449 7.235 4.690
O 3.039 8.723 1.655
O 3.378 0.429 5.283
O 3.968 4.891 2.248
O 3.815 1.899 3.251
O 4.405 3.421 0.216
! * final energy: -144.3 eV per cell
! * space group: P2_1/c, No. 14
! * N(E_F): 4.87 states/eV per cell
! * E_form (uncorrected): -1.714 eV/atom

[2]
! BiPO (PBE, relaxed); values from VASP
&SYSTEM
  ibrav = 0, nat = 6, ntyp = 3
/
ATOMIC_SPECIES
Bi 208.98 Bi.upf
P 30.97 P.upf
O 16.00 O.upf
CELL_PARAMETERS angstrom
5.188 0.000 0.000
-0.397 5.208 0.000
-1.871 -2.593 5.499
ATOMIC_POSITIONS angstrom
Bi 0.000 0.000 0.000
Bi 1.135 3.494 3.076
P -1.153 0.796 3.821
P -0.045 -0.688 5.072
O -0.081 1.497 2.947
O 2.920 0.171 2.954
! * final energy: -33.3 eV per cell
! * space group: P1, No. 1
! * E_form (uncorrected): -0.796 eV/atom
! * polymorph energy (0 for the lowest one): 0.0000 eV/atom